# 1
DFT (PBE) results for an optimized crystal structure of In2SbCl2.

E_form (uncorrected) ... -1.4 eV/f.u.
Excess energy over the best structure of this formula in the dataset ... 143 meV per atom
Magnetization ... 0.0 μB/f.u.

Cell lengths 6.079, 6.079, 8.564 Å; angles 90.00, 90.00, 90.00 degrees
Space group I4/mmm (No. 139)
One atom of each set of equivalent atoms:
In 0.000 0.500 0.250
Sb 0.000 0.000 0.000
Cl 0.000 0.000 0.318


# 2
DFT (PBE) results for an optimized crystal structure of Hf2TlZn.

Excess energy over the best structure of this formula in the dataset ... 310 meV per atom
Magnetization ... 0.0 μB/f.u.
Calculated formation energy ... 302.5 meV per atom

Cell lengths 4.3563, 4.3563, 16.9549 Å; angles 90.00, 90.00, 120.00 degrees
Space group R3m (No. 160, hexagonal axes)
One atom of each set of equivalent atoms:
Hf 0.0000 0.0000 0.0000
Hf 0.0000 0.0000 0.2080
Tl 0.0000 0.0000 0.4300
Zn 0.0000 0.0000 0.6024


# 3
DFT (PBE) results for an optimized crystal structure of BaMn2Au.

Magnetization ... 7.9 μB/f.u.
Calculated formation energy ... 181.3 meV per atom

Cell lengths 4.5932, 4.5932, 17.6717 Å; angles 90.00, 90.00, 120.00 degrees
Space group R3m (No. 160, hexagonal axes)
One atom of each set of equivalent atoms:
Ba 0.0000 0.0000 0.0000
Mn 0.0000 0.0000 0.1910
Mn 0.0000 0.0000 0.4842
Au 0.0000 0.0000 0.8064


# 4
DFT (PBE) results for an optimized crystal structure of Ni2TePb.

E_form (uncorrected) ... 0.1 eV/f.u.
Excess energy over the best structure of this formula in the dataset ... 105 meV per atom
Magnetization ... 0.0 μB/f.u.

Cell lengths 3.578, 3.813, 5.860 Å; angles 90.00, 107.76, 90.00 degrees
Space group Pm (No. 6)
One atom of each set of equivalent atoms:
Ni 0.000 0.000 0.000
Ni 0.145 0.500 0.295
Te 0.473 0.500 0.948
Pb 0.742 0.000 0.488


# 5
DFT (PBE) results for an optimized crystal structure of Pr2AlBr.

E_form (uncorrected) ... -2.9 eV/f.u.
Excess energy over the best structure of this formula in the dataset ... 19 meV per atom
Magnetization ... 0.0 μB/f.u.

Cell lengths 3.8637, 3.8637, 26.8688 Å; angles 90.00, 90.00, 120.00 degrees
Space group R3m (No. 160, hexagonal axes)
One atom of each set of equivalent atoms:
Pr 0.0000 0.0000 0.0000
Pr 0.0000 0.0000 0.1742
Al 0.0000 0.0000 0.5872
Br 0.0000 0.0000 0.4197


# 6
DFT (PBE) results for an optimized crystal structure of SrCePd2.

Excess energy over the best structure of this formula in the dataset ... 87 meV per atom
Magnetization ... 0.6 μB/f.u.
Calculated formation energy ... -547.1 meV per atom

Cell lengths 4.1749, 4.1749, 21.8434 Å; angles 90.00, 90.00, 120.00 degrees
Space group R-3m (No. 166, hexagonal axes)
One atom of each set of equivalent atoms:
Sr 0.0000 0.0000 0.0000
Ce 0.0000 0.0000 0.5000
Pd 0.0000 0.0000 0.2389


# 7
DFT (PBE) results for an optimized crystal structure of MoAuSe2.

E_form (uncorrected) ... 2.7 eV/f.u.
Excess energy over the best structure of this formula in the dataset ... 839 meV per atom
Magnetization ... 1.5 μB/f.u.

Cell lengths 6.688, 6.688, 6.688 Å; angles 90.00, 90.00, 90.00 degrees
Space group F-43m (No. 216)
One atom of each set of equivalent atoms:
Mo 0.000 0.000 0.000
Au 0.250 0.250 0.750
Se 0.000 0.000 0.500
Se 0.250 0.250 0.250


# 8
DFT (PBE) results for an optimized crystal structure of Sr2AsW.

Magnetization ... 3.2 μB/f.u.
Calculated formation energy ... 561.1 meV per atom

Cell lengths 4.027, 4.066, 6.626 Å; angles 90.00, 90.00, 90.00 degrees
Space group Pmmm (No. 47)
One atom of each set of equivalent atoms:
Sr 0.000 0.000 0.235
As 0.500 0.500 0.000
W 0.500 0.500 0.500